4
Lattice="4.9399 0.0000 0.0000 0.0000 2.8724 0.0004 0.0000 0.8714 5.0597" Properties=species:S:1:pos:R:3 comment="ScTa2Cu | Alexandria | GGA-PBE | optimized geometry" sg="P2/m, No. 10" formation_energy_kj_per_mol_atoms=19 dft_energy_ev_per_atom=-8.340 relative_energy_mev_per_atom=127 m_tot_mub_per_fu=0.00 pbc="T T T"
Sc 2.4699 2.8079 3.7951
Ta 0.0000 0.1777 0.0406
Ta 0.0000 1.6942 2.4894
Cu 2.4699 0.9360 1.2650